First-principles (PBE-GGA) data for SrHfHg2 after structural relaxation, as listed in Alexandria.

```
SrHfHg2
1.0
-0.512 1.010 -3.440
-1.569 -3.187 -0.702
-6.960 3.005 1.919
Sr Hf Hg
1 1 2
Direct
0.500 0.500 0.500
0.500 0.500 0.000
0.000 0.000 0.790
0.000 0.000 0.210
```

Properties
- DFT formation energy: -0.17 eV per atom
- DOS at the Fermi energy: 1.74 states/eV/f.u.
- Energy relative to the lowest polymorph listed for this composition: 0 meV/atom